14
Lattice="8.227 0.000 0.000 -4.114 7.125 0.000 0.000 0.000 5.237" Properties=species:S:1:pos:R:3 comment="CrPb3N3 (PBE, optimized geometry)" e_form_raw_ev_per_atom=0.3179 space_group="No. 176" e_tot_ev_per_cell=-87.00 crystal_system=hexagonal pbc="T T T"
Cr 0.000 4.750 1.309
Cr 4.114 2.375 3.928
Pb -0.785 2.886 3.928
Pb -1.221 6.362 3.928
Pb 2.107 2.123 1.309
Pb 2.006 5.001 3.928
Pb 5.335 0.763 1.309
Pb 4.899 4.238 1.309
N -1.102 3.410 1.309
N -0.610 6.374 1.309
N 2.402 2.659 3.928
N 1.711 4.466 1.309
N 4.724 0.751 3.928
N 5.215 3.715 3.928